[1]
Material: PmSm3Tm
Method: DFT, PBE-GGA
State: optimized geometry

a b c (Å): 8.060 13.918 6.171
angles (deg): 90.00 90.00 90.00
Space group Cmcm (No. 63)
Symmetry-distinct sites (fractional):
Pm 0.000 0.201 0.250 (multiplicity 4)
Sm 0.000 0.000 0.000 (multiplicity 4)
Sm 0.198 0.400 0.250 (multiplicity 8)
Tm 0.000 0.334 0.750 (multiplicity 4)

Properties
ΔE_f (eV per atom): 0.343
ΔE to the lowest computed polymorph (eV per formula unit): 1.61
Total magnetization (μB per atom): 0.000

[2]
Material: La3AsI
Method: DFT, PBE-GGA
State: optimized geometry

a b c (Å): 5.773 5.773 5.773
angles (deg): 90.00 90.00 90.00
Space group Pm-3m (No. 221)
Symmetry-distinct sites (fractional):
La 0.000 0.000 0.500 (multiplicity 3)
As 0.000 0.000 0.000 (multiplicity 1)
I 0.500 0.500 0.500 (multiplicity 1)

Properties
ΔE to the lowest computed polymorph (eV per formula unit): 0.00
Total magnetization (μB per atom): 0.000
E_form (uncorrected) (meV/atom): -539

[3]
Material: CdNiBr2
Method: DFT, PBE-GGA
State: optimized geometry

a b c (Å): 3.274 3.274 9.278
angles (deg): 90.00 90.00 90.00
Space group P4/mmm (No. 123)
Symmetry-distinct sites (fractional):
Cd 0.000 0.000 0.000 (multiplicity 1)
Ni 0.000 0.000 0.500 (multiplicity 1)
Br 0.500 0.500 0.329 (multiplicity 2)

Properties
ΔE to the lowest computed polymorph (eV per formula unit): 1.79
Total magnetization (μB per atom): 0.428
E_form (uncorrected) (meV/atom): 206

[4]
Material: PaSiNiIr
Method: DFT, PBE-GGA
State: optimized geometry

a b c (Å): 4.295 3.776 9.052
angles (deg): 90.00 90.00 90.00
Space group Amm2 (No. 38)
Symmetry-distinct sites (fractional):
Pa 0.000 0.000 0.000 (multiplicity 2)
Si 0.500 0.000 0.608 (multiplicity 2)
Ni 0.500 0.000 0.340 (multiplicity 2)
Ir 0.000 0.000 0.721 (multiplicity 2)

Properties
Total magnetization (μB per atom): 0.000
E_form (uncorrected) (meV/atom): -365

[5]
Material: NaPm3Nd2Se6
Method: DFT, PBE-GGA
State: optimized geometry

a b c (Å): 18.386 4.203 8.452
angles (deg): 90.00 103.28 90.00
Space group C2/m (No. 12)
Symmetry-distinct sites (fractional):
Na 0.000 0.000 0.000 (multiplicity 2)
Pm 0.000 0.000 0.500 (multiplicity 2)
Pm 0.165 0.500 0.828 (multiplicity 4)
Nd 0.169 0.500 0.340 (multiplicity 4)
Se 0.001 0.500 0.250 (multiplicity 4)
Se 0.164 0.000 0.586 (multiplicity 4)
Se 0.167 0.000 0.081 (multiplicity 4)

Properties
Total magnetization (μB per atom): 0.000
E_form (uncorrected) (meV/atom): -1798

[6]
Material: U3C
Method: DFT, PBE-GGA
State: optimized geometry

a b c (Å): 4.048 4.048 4.048
angles (deg): 90.00 90.00 90.00
Space group Pm-3m (No. 221)
Symmetry-distinct sites (fractional):
U 0.000 0.000 0.500 (multiplicity 3)
C 0.500 0.500 0.500 (multiplicity 1)

Properties
ΔE_f (eV per atom): 0.464
ΔE to the lowest computed polymorph (eV per formula unit): 1.60
Total magnetization (μB per atom): 0.209

[7]
Material: Tb4Pm2Dy2Tm
Method: DFT, PBE-GGA
State: optimized geometry

a b c (Å): 18.671 3.601 9.565
angles (deg): 90.00 115.67 90.00
Space group C2/m (No. 12)
Symmetry-distinct sites (fractional):
Tb 0.019 0.000 0.334 (multiplicity 4)
Tb 0.185 0.500 0.334 (multiplicity 4)
Pm 0.165 0.000 0.999 (multiplicity 4)
Dy 0.147 0.500 0.664 (multiplicity 4)
Tm 0.000 0.500 0.000 (multiplicity 2)

Properties
ΔE_f (eV per atom): 0.000
Total magnetization (μB per atom): 0.000

[8]
Material: Fe2ReNi2
Method: DFT, PBE-GGA
State: optimized geometry

a b c (Å): 3.340 3.340 11.184
angles (deg): 90.00 90.00 90.00
Space group I4/mmm (No. 139)
Symmetry-distinct sites (fractional):
Fe 0.000 0.000 0.099 (multiplicity 4)
Re 0.000 0.000 0.500 (multiplicity 2)
Ni 0.000 0.500 0.250 (multiplicity 4)

Properties
ΔE_f (eV per atom): 0.491
ΔE to the lowest computed polymorph (eV per formula unit): 1.42
Total magnetization (μB per atom): 0.930